Record 1
# PmGaPdAu | the Alexandria database | PBE | optimized geometry
data_PmGaPdAu
_cell_length_a 4.860
_cell_length_b 4.860
_cell_length_c 4.860
_cell_angle_alpha 60.00
_cell_angle_beta 60.00
_cell_angle_gamma 60.00
_symmetry_space_group_name_H-M 'P 1'
_symmetry_Int_Tables_number 1
_symmetry_space_group_name_Hall 'P 1'
loop_
_atom_site_label
_atom_site_type_symbol
_atom_site_fract_x
_atom_site_fract_y
_atom_site_fract_z
_atom_site_occupancy
Au1 Au 0.500 0.500 0.500 1
Ga1 Ga 0.250 0.250 0.250 1
Pd1 Pd 0.000 0.000 0.000 1
Pm1 Pm 0.750 0.750 0.750 1
# energy relative to the elements	-0.640	eV/atom
# crystal system	cubic
# uncorrected energy	-4.702	eV per atom
# total magnetization	0.00	μB per cell


Record 2
# ThNpMn4 | the Alexandria database | PBE | optimized geometry
data_ThNpMn4
_cell_length_a 5.144
_cell_length_b 5.144
_cell_length_c 5.144
_cell_angle_alpha 60.00
_cell_angle_beta 60.00
_cell_angle_gamma 60.00
_symmetry_space_group_name_H-M 'P 1'
_symmetry_Int_Tables_number 1
_symmetry_space_group_name_Hall 'P 1'
loop_
_atom_site_label
_atom_site_type_symbol
_atom_site_fract_x
_atom_site_fract_y
_atom_site_fract_z
_atom_site_occupancy
Mn1 Mn 0.123 0.626 0.626 1
Mn2 Mn 0.626 0.123 0.626 1
Mn3 Mn 0.626 0.626 0.626 1
Mn4 Mn 0.626 0.626 0.123 1
Th1 Th 0.250 0.250 0.250 1
Np1 Np 0.000 0.000 0.000 1
# energy relative to the elements	0.101	eV/atom
# crystal system	cubic
# uncorrected energy	-9.405	eV per atom
# total magnetization	3.63	μB per cell


Record 3
# Cs2TaCr | the Alexandria database | PBE | optimized geometry
data_Cs2TaCr
_cell_length_a 10.140
_cell_length_b 10.140
_cell_length_c 10.140
_cell_angle_alpha 93.04
_cell_angle_beta 93.04
_cell_angle_gamma 153.39
_symmetry_space_group_name_H-M 'P 1'
_symmetry_Int_Tables_number 1
_symmetry_space_group_name_Hall 'P 1'
loop_
_atom_site_label
_atom_site_type_symbol
_atom_site_fract_x
_atom_site_fract_y
_atom_site_fract_z
_atom_site_occupancy
Cs1 Cs 0.563 0.375 0.688 1
Cs2 Cs 0.625 0.313 0.188 1
Cs3 Cs 0.687 0.875 0.312 1
Cs4 Cs 0.125 0.437 0.812 1
Ta1 Ta 0.000 0.000 0.000 1
Ta2 Ta 0.250 0.750 0.500 1
Cr1 Cr 0.750 0.250 0.500 1
Cr2 Cr 0.500 0.500 0.000 1
# energy relative to the elements	1.611	eV/atom
# crystal system	tetragonal
# uncorrected energy	-4.185	eV per atom
# total magnetization	2.79	μB per cell


Record 4
# Er2Si3Os2 | the Alexandria database | PBE | optimized geometry
data_Er2Si3Os2
_cell_length_a 4.292
_cell_length_b 7.081
_cell_length_c 5.773
_cell_angle_alpha 123.37
_cell_angle_beta 111.82
_cell_angle_gamma 90.00
_symmetry_space_group_name_H-M 'P 1'
_symmetry_Int_Tables_number 1
_symmetry_space_group_name_Hall 'P 1'
loop_
_atom_site_label
_atom_site_type_symbol
_atom_site_fract_x
_atom_site_fract_y
_atom_site_fract_z
_atom_site_occupancy
Os1 Os 0.769 0.658 0.539 1
Os2 Os 0.231 0.342 0.461 1
Si1 Si 0.000 0.000 0.000 1
Si2 Si 0.148 0.596 0.296 1
Si3 Si 0.852 0.404 0.704 1
Er1 Er 0.436 0.195 0.873 1
Er2 Er 0.564 0.805 0.127 1
# formation energy from raw total energies	-0.6627	eV per atom
# crystal system	monoclinic
# uncorrected energy	-7.499	eV per atom
# total magnetization	0.00	μB per cell


Record 5
# CsNa2MoCl8 | the Alexandria database | PBE | optimized geometry
data_CsNa2MoCl8
_cell_length_a 6.380
_cell_length_b 6.085
_cell_length_c 9.409
_cell_angle_alpha 89.57
_cell_angle_beta 89.83
_cell_angle_gamma 93.45
_symmetry_space_group_name_H-M 'P 1'
_symmetry_Int_Tables_number 1
_symmetry_space_group_name_Hall 'P 1'
loop_
_atom_site_label
_atom_site_type_symbol
_atom_site_fract_x
_atom_site_fract_y
_atom_site_fract_z
_atom_site_occupancy
Na1 Na 0.501 0.502 0.248 1
Na2 Na 0.499 0.498 0.752 1
Cl1 Cl 0.146 0.778 0.823 1
Cl2 Cl 0.142 0.774 0.178 1
Cl3 Cl 0.858 0.226 0.822 1
Cl4 Cl 0.687 0.763 0.999 1
Cl5 Cl 0.501 0.747 0.500 1
Cl6 Cl 0.313 0.237 0.001 1
Cl7 Cl 0.499 0.253 0.500 1
Cl8 Cl 0.854 0.222 0.177 1
Cs1 Cs 0.000 0.000 0.500 1
Mo1 Mo 0.000 0.000 0.000 1
# formation energy from raw total energies	-1.2538	eV per atom
# crystal system	triclinic
# uncorrected energy	-3.678	eV per atom
# total magnetization	1.75	μB per cell


Record 6
# NaLa5Sb3 | the Alexandria database | PBE | optimized geometry
data_NaLa5Sb3
_cell_length_a 6.727
_cell_length_b 9.813
_cell_length_c 9.813
_cell_angle_alpha 120.00
_cell_angle_beta 90.00
_cell_angle_gamma 90.00
_symmetry_space_group_name_H-M 'P 1'
_symmetry_Int_Tables_number 1
_symmetry_space_group_name_Hall 'P 1'
loop_
_atom_site_label
_atom_site_type_symbol
_atom_site_fract_x
_atom_site_fract_y
_atom_site_fract_z
_atom_site_occupancy
Na1 Na 0.500 0.000 0.000 1
Na2 Na 0.000 0.000 0.000 1
La1 La 0.000 0.667 0.333 1
La2 La 0.750 0.698 0.698 1
La3 La 0.500 0.333 0.667 1
La4 La 0.250 0.000 0.698 1
La5 La 0.250 0.302 0.302 1
La6 La 0.250 0.698 0.000 1
La7 La 0.750 0.000 0.302 1
La8 La 0.500 0.667 0.333 1
La9 La 0.000 0.333 0.667 1
La10 La 0.750 0.302 0.000 1
Sb1 Sb 0.250 0.639 0.639 1
Sb2 Sb 0.750 0.361 0.361 1
Sb3 Sb 0.750 0.000 0.639 1
Sb4 Sb 0.250 0.361 0.000 1
Sb5 Sb 0.750 0.639 0.000 1
Sb6 Sb 0.250 0.000 0.361 1
# formation energy from raw total energies	-0.8279	eV per atom
# crystal system	hexagonal
# uncorrected energy	-5.086	eV per atom
# total magnetization	2.76	μB per cell


Record 7
# SrCoSb | the Alexandria database | PBE | optimized geometry
data_SrCoSb
_cell_length_a 6.257
_cell_length_b 6.258
_cell_length_c 3.492
_cell_angle_alpha 73.80
_cell_angle_beta 73.80
_cell_angle_gamma 32.41
_symmetry_space_group_name_H-M 'P 1'
_symmetry_Int_Tables_number 1
_symmetry_space_group_name_Hall 'P 1'
loop_
_atom_site_label
_atom_site_type_symbol
_atom_site_fract_x
_atom_site_fract_y
_atom_site_fract_z
_atom_site_occupancy
Sb1 Sb 0.378 0.378 0.622 1
Co1 Co 0.959 0.959 0.041 1
Sr1 Sr 0.663 0.663 0.337 1
# formation energy from raw total energies	-0.0748	eV per atom
# crystal system	tetragonal
# uncorrected energy	-4.378	eV per atom
# total magnetization	0.00	μB per cell


Record 8
# CsSr2Te2 | the Alexandria database | PBE | optimized geometry
data_CsSr2Te2
_cell_length_a 6.251
_cell_length_b 6.251
_cell_length_c 7.816
_cell_angle_alpha 66.43
_cell_angle_beta 66.43
_cell_angle_gamma 90.00
_symmetry_space_group_name_H-M 'P 1'
_symmetry_Int_Tables_number 1
_symmetry_space_group_name_Hall 'P 1'
loop_
_atom_site_label
_atom_site_type_symbol
_atom_site_fract_x
_atom_site_fract_y
_atom_site_fract_z
_atom_site_occupancy
Te1 Te 0.750 0.250 0.500 1
Te2 Te 0.250 0.750 0.500 1
Cs1 Cs 0.000 0.000 0.000 1
Sr1 Sr 0.326 0.326 0.349 1
Sr2 Sr 0.674 0.674 0.651 1
# formation energy from raw total energies	-1.1806	eV per atom
# crystal system	tetragonal
# uncorrected energy	-3.281	eV per atom
# excess energy over the best structure of this formula in the dataset	0	meV per atom
# total magnetization	0.99	μB per cell


Record 9
# Ac3TlAs | the Alexandria database | PBE | optimized geometry
data_Ac3TlAs
_cell_length_a 4.400
_cell_length_b 9.908
_cell_length_c 17.445
_cell_angle_alpha 90.00
_cell_angle_beta 90.00
_cell_angle_gamma 90.00
_symmetry_space_group_name_H-M 'P 1'
_symmetry_Int_Tables_number 1
_symmetry_space_group_name_Hall 'P 1'
loop_
_atom_site_label
_atom_site_type_symbol
_atom_site_fract_x
_atom_site_fract_y
_atom_site_fract_z
_atom_site_occupancy
Ac1 Ac 0.250 0.163 0.801 1
Ac2 Ac 0.250 0.981 0.391 1
Ac3 Ac 0.750 0.519 0.891 1
Ac4 Ac 0.750 0.159 0.038 1
Ac5 Ac 0.750 0.337 0.301 1
Ac6 Ac 0.750 0.019 0.609 1
Ac7 Ac 0.250 0.841 0.962 1
Ac8 Ac 0.250 0.481 0.109 1
Ac9 Ac 0.750 0.659 0.462 1
Ac10 Ac 0.250 0.663 0.699 1
Ac11 Ac 0.750 0.837 0.199 1
Ac12 Ac 0.250 0.341 0.538 1
As1 As 0.250 0.321 0.953 1
As2 As 0.250 0.821 0.547 1
As3 As 0.750 0.179 0.453 1
As4 As 0.750 0.679 0.047 1
Tl1 Tl 0.250 0.126 0.197 1
Tl2 Tl 0.750 0.374 0.697 1
Tl3 Tl 0.250 0.626 0.303 1
Tl4 Tl 0.750 0.874 0.803 1
# energy relative to the elements	-0.682	eV/atom
# crystal system	orthorhombic
# uncorrected energy	-4.551	eV per atom
# excess energy over the best structure of this formula in the dataset	0	meV per atom
# total magnetization	0.00	μB per cell


Record 10
# Li2CeNd2Pb2 | the Alexandria database | PBE | optimized geometry
data_Li2CeNd2Pb2
_cell_length_a 4.948
_cell_length_b 4.948
_cell_length_c 9.615
_cell_angle_alpha 75.09
_cell_angle_beta 75.09
_cell_angle_gamma 60.00
_symmetry_space_group_name_H-M 'P 1'
_symmetry_Int_Tables_number 1
_symmetry_space_group_name_Hall 'P 1'
loop_
_atom_site_label
_atom_site_type_symbol
_atom_site_fract_x
_atom_site_fract_y
_atom_site_fract_z
_atom_site_occupancy
Nd1 Nd 0.871 0.871 0.386 1
Nd2 Nd 0.129 0.129 0.614 1
Ce1 Ce 0.000 0.000 0.000 1
Li1 Li 0.596 0.596 0.212 1
Li2 Li 0.404 0.404 0.788 1
Pb1 Pb 0.735 0.735 0.795 1
Pb2 Pb 0.265 0.265 0.205 1
# energy relative to the elements	-0.298	eV/atom
# crystal system	trigonal
# uncorrected energy	-4.114	eV per atom
# total magnetization	1.34	μB per cell


Record 11
# KZr2Sc | the Alexandria database | PBE | optimized geometry
data_KZr2Sc
_cell_length_a 3.142
_cell_length_b 3.142
_cell_length_c 11.515
_cell_angle_alpha 90.00
_cell_angle_beta 90.00
_cell_angle_gamma 90.00
_symmetry_space_group_name_H-M 'P 1'
_symmetry_Int_Tables_number 1
_symmetry_space_group_name_Hall 'P 1'
loop_
_atom_site_label
_atom_site_type_symbol
_atom_site_fract_x
_atom_site_fract_y
_atom_site_fract_z
_atom_site_occupancy
Zr1 Zr 0.000 0.000 0.553 1
Zr2 Zr 0.000 0.000 0.947 1
K1 K 0.500 0.500 0.250 1
Sc1 Sc 0.500 0.500 0.750 1
# energy relative to the elements	0.412	eV/atom
# crystal system	tetragonal
# uncorrected energy	-5.719	eV per atom
# excess energy over the best structure of this formula in the dataset	82	meV per atom
# total magnetization	0.00	μB per cell


Record 12
# TbY2SbN4 | the Alexandria database | PBE | optimized geometry
data_TbY2SbN4
_cell_length_a 3.493
_cell_length_b 6.059
_cell_length_c 6.066
_cell_angle_alpha 109.31
_cell_angle_beta 90.00
_cell_angle_gamma 90.00
_symmetry_space_group_name_H-M 'P 1'
_symmetry_Int_Tables_number 1
_symmetry_space_group_name_Hall 'P 1'
loop_
_atom_site_label
_atom_site_type_symbol
_atom_site_fract_x
_atom_site_fract_y
_atom_site_fract_z
_atom_site_occupancy
Y1 Y 0.500 0.000 0.500 1
Y2 Y 0.000 0.500 0.500 1
Tb1 Tb 0.500 0.500 0.000 1
N1 N 0.000 0.745 0.256 1
N2 N 0.500 0.739 0.738 1
N3 N 0.500 0.261 0.262 1
N4 N 0.000 0.255 0.744 1
Sb1 Sb 0.000 0.000 0.000 1
# formation energy from raw total energies	-1.0457	eV per atom
# crystal system	monoclinic
# uncorrected energy	-7.918	eV per atom
# total magnetization	0.00	μB per cell


Result set for DOS(E_F): 2.14 10.39 7.40 1.62 10.24 10.62 2.63 1.01 4.57 10.59 5.09 0.40 states/eV/f.u., one per record in the order listed.